Na2ZrCrSe4: relaxed, PBE.

It has space group P2/m (No. 10), with a = 6.6947 Å, b = 3.8782 Å, c = 7.3224 Å, α = 90.00°, β = 107.45° and γ = 90.00°. The inequivalent atoms are Na at (0.0000, 0.0000, 0.0000), Na at (0.5000, 0.5000, 0.0000), Zr at (0.0000, 0.5000, 0.5000), Cr at (0.5000, 0.0000, 0.5000), Se at (0.2496, 0.0000, 0.7186) and Se at (0.2707, 0.5000, 0.2902).

As for the formation energy without anion corrections: -1044 meV/atom. The calculation puts the total moment at 3.70 μB/f.u. As for the density of states at the Fermi level: 3.2 states/eV/cell. The value obtained for the volume is 181.37 Å³/cell. The calculated total energy is -5.387 eV/atom. As for the theoretical density: 4.624 g cm⁻³.